DFT (PBE) results for Fe2BiAs after structural relaxation.

```
Fe2BiAs
1.0
-2.8154 3.4484 -0.5341
0.1662 -0.5529 -4.4463
-7.5198 -3.5499 -2.1003
Bi Fe As
2 4 2
Direct
0.0000 0.0000 0.0000
0.7500 0.2500 0.5000
0.3750 0.5017 0.7500
0.2517 0.6250 0.2500
0.8750 0.7483 0.7500
0.4983 0.1250 0.2500
0.5000 0.5000 0.0000
0.2500 0.7500 0.5000
```

Output
Uncorrected energy ... -5.97 eV per atom
Symmetry ... I-42d, No. 122
DOS at the Fermi energy ... 4.52 states/eV/f.u.